Density functional theory data (PBE-GGA) for a geometry-optimized AcGaAu structure.

Cell lengths 4.779, 7.846, 8.130 Å; angles 90.00, 90.00, 90.00 degrees
Space group Imm2 (No. 44)
One atom of each set of equivalent atoms:
Ac: 0.000 0.000 0.000 (multiplicity 2)
Ac: 0.000 0.500 0.061 (multiplicity 2)
Ga: 0.000 0.188 0.360 (multiplicity 4)
Au: 0.000 0.275 0.694 (multiplicity 4)

* crystal system: orthorhombic
* offset from the most stable computed form: 0.0 meV per atom
* Fermi-level density of states: 5.66 states/eV/cell
* DFT formation energy: -2.3 eV/f.u.
* calculated total energy: -4.2372 eV per atom

---

Density functional theory data (PBE-GGA) for a geometry-optimized TlSn structure.

Cell lengths 3.497, 4.225, 8.106 Å; angles 90.00, 90.10, 90.00 degrees
Space group P2_1/m (No. 11)
One atom of each set of equivalent atoms:
Tl: 0.250 0.250 0.143 (multiplicity 2)
Sn: 0.250 0.250 0.605 (multiplicity 2)

* crystal system: monoclinic
* Fermi-level density of states: 1.45 states/eV/cell
* DFT formation energy: 0.0 eV/f.u.
* calculated total energy: -3.1745 eV per atom

---

Density functional theory data (PBE-GGA) for a geometry-optimized Sr2ErAs3Pt12 structure.

Cell lengths 8.5293, 8.5293, 18.5242 Å; angles 90.00, 90.00, 120.00 degrees
Space group R-3m (No. 166, hexagonal axes)
One atom of each set of equivalent atoms:
Sr: 0.0000 0.0000 0.1025 (multiplicity 6)
Er: 0.0000 0.0000 0.5000 (multiplicity 3)
As: 0.0000 0.5000 0.0000 (multiplicity 9)
Pt: 0.0166 0.5083 0.8703 (multiplicity 18)
Pt: 0.0319 0.5159 0.3649 (multiplicity 18)

* crystal system: trigonal
* Fermi-level density of states: 25.04 states/eV/cell
* DFT formation energy: -4.2 eV/f.u.
* calculated total energy: -5.4731 eV per atom

---

Density functional theory data (PBE-GGA) for a geometry-optimized RbHf3Hg structure.

Cell lengths 5.421, 5.421, 5.421 Å; angles 90.00, 90.00, 90.00 degrees
Space group Pm-3m (No. 221)
One atom of each set of equivalent atoms:
Rb: 0.000 0.000 0.000 (multiplicity 1)
Hf: 0.000 0.500 0.500 (multiplicity 3)
Hg: 0.500 0.500 0.500 (multiplicity 1)

* crystal system: cubic
* offset from the most stable computed form: 0.0 meV per atom
* Fermi-level density of states: 12.01 states/eV/cell
* DFT formation energy: 6.8 eV/f.u.
* calculated total energy: -4.8608 eV per atom

---

Density functional theory data (PBE-GGA) for a geometry-optimized Pu3ZrU2P6 structure.

Cell lengths 6.813, 11.789, 6.805 Å; angles 90.00, 109.46, 90.00 degrees
Space group C2/m (No. 12)
One atom of each set of equivalent atoms:
Pu: 0.000 0.000 0.000 (multiplicity 2)
Pu: 0.000 0.333 0.000 (multiplicity 4)
Zr: 0.000 0.500 0.500 (multiplicity 2)
U: 0.000 0.166 0.500 (multiplicity 4)
P: 0.244 0.336 0.741 (multiplicity 8)
P: 0.247 0.500 0.257 (multiplicity 4)

* crystal system: monoclinic
* Fermi-level density of states: 65.89 states/eV/cell
* DFT formation energy: -13.8 eV/f.u.
* calculated total energy: -10.0319 eV per atom

---

Density functional theory data (PBE-GGA) for a geometry-optimized Zr5Al2Si structure.

Cell lengths 6.194, 11.964, 4.346 Å; angles 90.00, 90.00, 90.00 degrees
Space group Pbam (No. 55)
One atom of each set of equivalent atoms:
Zr: 0.000 0.000 0.000 (multiplicity 2)
Zr: 0.071 0.269 0.000 (multiplicity 4)
Zr: 0.195 0.605 0.500 (multiplicity 4)
Al: 0.166 0.856 0.500 (multiplicity 4)
Si: 0.000 0.500 0.000 (multiplicity 2)

* crystal system: orthorhombic
* offset from the most stable computed form: 6.8 meV per atom
* Fermi-level density of states: 14.81 states/eV/cell
* raw formation energy: -0.4040 eV/atom
* calculated total energy: -7.3601 eV per atom

---

Density functional theory data (PBE-GGA) for a geometry-optimized Ac8BiTe4Pt3 structure.

Cell lengths 9.1448, 9.1448, 24.0565 Å; angles 90.00, 90.00, 120.00 degrees
Space group R-3m (No. 166, hexagonal axes)
One atom of each set of equivalent atoms:
Ac: 0.0000 0.0000 0.2368 (multiplicity 6)
Ac: 0.0182 0.5091 0.7590 (multiplicity 18)
Bi: 0.0000 0.0000 0.5000 (multiplicity 3)
Te: 0.0000 0.0000 0.0000 (multiplicity 3)
Te: 0.0000 0.5000 0.0000 (multiplicity 9)
Pt: 0.0000 0.5000 0.5000 (multiplicity 9)

* crystal system: trigonal
* Fermi-level density of states: 34.05 states/eV/cell
* raw formation energy: -1.2800 eV/atom
* calculated total energy: -5.4949 eV per atom

---

Density functional theory data (PBE-GGA) for a geometry-optimized Dy7Tl2Ru2 structure.

Cell lengths 8.064, 10.949, 7.144 Å; angles 90.00, 90.00, 90.00 degrees
Space group Cmmm (No. 65)
One atom of each set of equivalent atoms:
Dy: 0.000 0.000 0.000 (multiplicity 2)
Dy: 0.000 0.500 0.239 (multiplicity 4)
Dy: 0.250 0.250 0.248 (multiplicity 8)
Tl: 0.183 0.000 0.500 (multiplicity 4)
Ru: 0.000 0.294 0.000 (multiplicity 4)

* crystal system: orthorhombic
* Fermi-level density of states: 16.45 states/eV/cell
* DFT formation energy: -2.5 eV/f.u.
* calculated total energy: -5.2737 eV per atom